No. 1
## CuTcSnW (PBE)

Data for a geometry-optimized CuTcSnW structure.

Lattice parameters (Å, degrees): 4.469 4.469 4.469 60.00 60.00 60.00
Sites, in units of the cell vectors:
1 Cu 0.750 0.750 0.750
2 Sn 0.500 0.500 0.500
3 Tc 0.250 0.250 0.250
4 W 0.000 0.000 0.000

Computed properties:
Size of the total moment (μB/atom): 0.001
Energy above the most stable polymorph in this dataset (meV per atom): 0
Symmetry: No. 216
Crystal system: cubic

=====

No. 2
## CsNiAgTeS2 (PBE)

Data for a geometry-optimized CsNiAgTeS2 structure.

Lattice parameters (Å, degrees): 8.768 8.768 10.637 90.00 90.00 156.88
Sites, in units of the cell vectors:
1 Ag 0.441 0.559 0.250
2 Ag 0.559 0.441 0.750
3 Cs 0.764 0.236 0.250
4 Cs 0.236 0.764 0.750
5 Ni 0.000 0.000 0.000
6 Ni 0.000 0.000 0.500
7 S 0.414 0.586 0.023
8 S 0.414 0.586 0.477
9 S 0.586 0.414 0.523
10 S 0.586 0.414 0.977
11 Te 0.073 0.927 0.250
12 Te 0.927 0.073 0.750

Computed properties:
DFT total energy (eV/atom): -3.702
Size of the total moment (μB/atom): 0.001
Symmetry: No. 63
Crystal system: orthorhombic

=====

> Number 1 is which compound?

CuTcSnW